Entry from Alexandria: a relaxed structure of CdBiMoO6 (PBE+U).

Cell and atoms, written as extended XYZ:
```
9
Lattice="4.7846 0.0000 0.0000 0.0000 5.4990 0.0000 0.0000 -2.7495 4.7623" Properties=species:S:1:pos:R:3 pbc="T T T"
Cd 2.3923 2.7495 1.5874
Bi 0.0000 0.0000 3.1749
Mo 2.3923 0.0000 0.0000
O 3.5066 1.9119 3.3886
O 3.5066 -1.1411 4.7237
O 3.5066 -0.7708 1.4122
O 1.2780 0.7708 1.4122
O 1.2780 1.1411 4.7237
O 1.2780 -1.9119 3.3886
```

Computed properties:
DOS(E_F) in states/eV per cell: 2.61
Space group: P312, No. 149
E_tot in eV per atom: -5.78